This record from Alexandria via LeMat-Bulk describes Cs2SiIrBr6 after structural relaxation. The functional is PBE.

Output
* ΔE_f (raw): -0.7472 eV per atom
* D(E_F): 0.464 states/eV per atom
* total moment: 0.00 μB/atom
* SG: I4/mmm (139)

Unit cell a=7.589 b=7.589 c=7.589 alpha=120.12 beta=120.12 gamma=89.78
Fractional positions:
Cs 0.250 0.750 0.500
Cs 0.750 0.250 0.500
Si 0.000 0.000 0.000
Ir 0.500 0.500 0.000
Br 0.257 0.257 0.515
Br 0.257 0.743 0.000
Br 0.258 0.258 0.000
Br 0.742 0.742 0.000
Br 0.743 0.257 0.000
Br 0.743 0.743 0.485